4
Lattice="5.114 0.000 0.000 2.557 4.429 0.000 2.557 1.476 4.173" Properties=species:S:1:pos:R:3 comment="ThPa2Cu PBE relaxed" dft_energy_ev_per_atom=-7.228 pbc="T T T"
Pa 2.557 1.476 1.045
Pa 7.671 4.429 3.128
Cu 0.000 0.000 0.000
Th 5.114 2.953 2.087

9
Lattice="-0.570 3.149 0.289 -7.254 -1.485 1.880 5.338 0.466 5.445" Properties=species:S:1:pos:R:3 comment="ThPa2Cu6 PBE relaxed" dft_energy_ev_per_atom=-5.749 pbc="T T T"
Th 0.000 0.000 0.000
Cu -1.555 0.899 5.002
Cu 1.513 1.731 1.979
Cu 0.243 1.055 6.836
Cu -0.930 1.231 2.612
Cu -2.728 1.074 0.778
Cu 3.255 1.883 3.756
Pa 1.141 -0.185 4.257
Pa -3.626 2.314 3.357

3
Lattice="3.284 0.000 0.000 0.000 3.284 0.000 -1.642 -1.642 6.631" Properties=species:S:1:pos:R:3 comment="ThPaCu PBE relaxed" dft_energy_ev_per_atom=-6.853 polymorph_energy_mev_per_atom=87 pbc="T T T"
Th 0.000 0.000 0.191
Pa 0.000 0.000 4.162
Cu 1.642 1.642 2.278

3
Lattice="-3.285 -0.547 -0.672 0.498 -4.652 1.350 -1.234 3.371 3.290" Properties=species:S:1:pos:R:3 comment="ThPaCu PBE relaxed" dft_energy_ev_per_atom=-6.734 polymorph_energy_mev_per_atom=206 pbc="T T T"
Pa -0.135 -0.022 -0.028
Th -2.222 -2.334 1.558
Cu -1.664 0.529 2.437

9
Lattice="3.336 0.000 0.000 0.000 6.615 -3.819 0.000 0.000 7.638" Properties=species:S:1:pos:R:3 comment="Th2PaCu6 PBE relaxed" dft_energy_ev_per_atom=-5.570 pbc="T T T"
Cu 1.668 2.179 -1.258
Cu 1.668 0.000 5.123
Cu 1.668 4.436 -2.561
Cu 1.668 2.179 1.258
Cu 1.668 4.436 2.561
Cu 1.668 0.000 2.516
Pa 0.000 0.000 0.000
Th 0.000 2.205 3.819
Th 3.336 4.410 0.000

3
Lattice="-1.616 -2.157 -1.424 2.828 -3.255 1.720 -3.785 1.273 2.367" Properties=species:S:1:pos:R:3 comment="PaTiCu PBE relaxed" dft_energy_ev_per_atom=-6.930 polymorph_energy_mev_per_atom=0 pbc="T T T"
Ti -0.317 -0.424 -0.280
Pa -0.463 -3.195 0.979
Cu -1.793 -0.520 1.964

4
Lattice="2.921 0.000 0.000 1.461 2.530 0.000 1.461 0.843 9.799" Properties=species:S:1:pos:R:3 comment="PaTi2Cu PBE relaxed" dft_energy_ev_per_atom=-7.021 polymorph_energy_mev_per_atom=232 pbc="T T T"
Pa 0.000 0.000 0.000
Ti 1.461 0.843 7.009
Ti 4.382 2.530 2.790
Cu 2.921 1.687 4.900

4
Lattice="3.104 0.000 0.000 0.000 4.753 0.000 0.000 0.000 4.753" Properties=species:S:1:pos:R:3 comment="PaTi2Cu PBE relaxed" dft_energy_ev_per_atom=-7.243 polymorph_energy_mev_per_atom=10 pbc="T T T"
Ti 0.000 0.000 2.376
Ti 0.000 2.376 0.000
Pa 1.552 0.000 0.000
Cu 1.552 2.376 2.376

D(E_F) list, top to bottom, in states/eV per atom: 2.50 0.79 1.50 1.92 0.62 2.16 1.82 1.17
Energy relative to the elements list, top to bottom, in eV/atom: 0.399 -0.084 0.151 0.270 -0.136 0.232 0.325 0.102